CaAcNd2Bi4: optimized geometry, GGA-PBE.

Energy relative to the elements: -0.866 eV per atom
Calculated volume: 36.6 A^3/atom
Crystal system: monoclinic

Cell: 4.685 8.216 8.055 Å, 70.72 90.00 90.00°
Fractional positions:
Ca1 0.500 0.500 0.000
Ac1 0.000 0.500 0.500
Nd1 0.000 0.000 0.000
Nd2 0.500 0.000 0.500
Bi1 0.000 0.758 0.752
Bi2 0.000 0.242 0.248
Bi3 0.500 0.762 0.241
Bi4 0.500 0.238 0.759